Density functional theory data (meta-GGA SCAN) for a crystal of CaAl2W relaxed with PBEsol.

Geometry as POSCAR:
```
CaAl2W
1.0
-0.995 2.658 -0.323
-3.338 -1.124 1.035
1.665 1.471 6.971
Ca Al W
1 2 1
Direct
0.000 0.000 0.506
0.000 0.000 0.988
0.500 0.500 0.192
0.500 0.500 0.814
```

Values from the calculation:
Its spin magnetization is 0.000 μB per formula unit. As for the symmetry: Pmm2, No. 25. As for the final energy: -23.406 eV per atom. The formation energy is 119 kJ/mol of formula units. For the energy relative to the lowest polymorph listed for this composition, the calculation gives 0.113 eV/atom. The density of states at the Fermi level is 0.6694 states/eV/atom.

---

Density functional theory data (meta-GGA SCAN) for a crystal of CaYAl2 relaxed with PBEsol.

Geometry as POSCAR:
```
CaYAl2
1.0
3.589 0.000 0.000
0.000 5.013 -0.036
-1.794 -2.456 5.317
Y Ca Al
1 1 2
Direct
0.266 0.766 0.532
0.485 0.485 0.969
0.032 0.031 0.063
0.718 0.219 0.435
```

Values from the calculation:
Its spin magnetization is 0.001 μB per formula unit. As for the symmetry: Cm, No. 8. As for the final energy: -13.488 eV per atom. The formation energy is -91 kJ/mol of formula units. The density of states at the Fermi level is 0.8099 states/eV/atom.

---

Density functional theory data (meta-GGA SCAN) for a crystal of CaYAl4 relaxed with PBEsol.

Geometry as POSCAR:
```
CaYAl4
1.0
-2.573 3.806 3.133
-5.518 -0.211 0.660
-2.159 -1.445 4.917
Y Ca Al
1 1 4
Direct
0.000 0.000 0.000
0.750 0.750 0.750
0.375 0.375 0.375
0.375 0.375 0.876
0.876 0.375 0.375
0.375 0.876 0.375
```

Values from the calculation:
Its spin magnetization is 0.076 μB per formula unit. As for the symmetry: F-43m, No. 216. As for the final energy: -11.855 eV per atom. The formation energy is -253 kJ/mol of formula units. The density of states at the Fermi level is 0.4799 states/eV/atom.

---

Density functional theory data (meta-GGA SCAN) for a crystal of CaYAl2 relaxed with PBEsol.

Geometry as POSCAR:
```
CaYAl2
1.0
3.389 0.000 0.000
-1.694 4.822 0.032
0.000 -1.111 6.358
Y Ca Al
1 1 2
Direct
0.500 0.000 0.000
0.000 0.000 0.500
0.751 0.502 0.781
0.249 0.498 0.219
```

Values from the calculation:
Its spin magnetization is 0.000 μB per formula unit. As for the symmetry: C2/m, No. 12. As for the final energy: -13.309 eV per atom. The formation energy is -22 kJ/mol of formula units. The density of states at the Fermi level is 0.6548 states/eV/atom.